(1)
! FeMo2W PBE-GGA relaxed; values from VASP
! offset from the most stable computed form: 0.3111 eV/atom
! crystal system: trigonal
! space group: R-3m
! formation energy: 0.37 eV per atom
! total energy: -10.40 eV/atom
&SYSTEM
  ibrav = 0, nat = 4, ntyp = 3
/
ATOMIC_SPECIES
Mo 95.94 Mo.upf
Fe 55.84 Fe.upf
W 183.84 W.upf
CELL_PARAMETERS angstrom
-3.252 -2.763 -8.272
-1.454 -4.800 -7.841
-3.992 -4.959 -6.791
ATOMIC_POSITIONS angstrom
Mo -8.638 -12.435 -22.746
Mo -4.409 -6.348 -11.611
Fe -2.175 -3.130 -5.726
W -6.524 -9.391 -17.178



(2)
! Fe2MoW PBE-GGA relaxed; values from VASP
! crystal system: orthorhombic
! space group: Pmmm
! formation energy: 0.14 eV per atom
! total energy: -10.04 eV/atom
&SYSTEM
  ibrav = 0, nat = 4, ntyp = 3
/
ATOMIC_SPECIES
Mo 95.94 Mo.upf
Fe 55.84 Fe.upf
W 183.84 W.upf
CELL_PARAMETERS angstrom
3.130 0.000 0.000
0.000 4.226 0.000
0.000 0.000 4.194
ATOMIC_POSITIONS angstrom
Mo 1.565 0.000 2.097
Fe 0.000 0.000 0.000
Fe 1.565 2.113 0.000
W 0.000 2.113 2.097



(3)
! Fe2MoW PBE-GGA relaxed; values from VASP
! crystal system: orthorhombic
! space group: Immm
! formation energy: 0.14 eV per atom
! total energy: -10.03 eV/atom
&SYSTEM
  ibrav = 0, nat = 4, ntyp = 3
/
ATOMIC_SPECIES
Fe 55.84 Fe.upf
W 183.84 W.upf
Mo 95.94 Mo.upf
CELL_PARAMETERS angstrom
4.958 0.007 0.002
2.167 4.459 -0.002
-3.158 -2.878 2.515
ATOMIC_POSITIONS angstrom
Fe 0.004 0.002 0.000
Fe 3.558 2.231 0.000
W 1.286 1.907 1.256
Mo 2.681 -0.319 1.258



(4)
! FeMoW3 PBE-GGA relaxed; values from VASP
! offset from the most stable computed form: 0.0000 eV/atom
! crystal system: cubic
! space group: Pm-3m
! formation energy: 1.37 eV per atom
! total energy: -10.26 eV/atom
&SYSTEM
  ibrav = 0, nat = 5, ntyp = 3
/
ATOMIC_SPECIES
W 183.84 W.upf
Fe 55.84 Fe.upf
Mo 95.94 Mo.upf
CELL_PARAMETERS angstrom
-4.384 -0.025 0.630
-0.039 -4.406 -0.450
0.629 -0.451 4.361
ATOMIC_POSITIONS angstrom
W 0.314 -0.225 2.181
W -0.020 -2.203 -0.225
W -2.192 -0.013 0.315
Fe 0.000 0.000 0.000
Mo -1.897 -2.441 2.271



(5)
! Fe2MoW PBE-GGA relaxed; values from VASP
! crystal system: tetragonal
! space group: I-42d
! formation energy: 0.72 eV per atom
! total energy: -9.45 eV/atom
&SYSTEM
  ibrav = 0, nat = 8, ntyp = 3
/
ATOMIC_SPECIES
Fe 55.84 Fe.upf
Mo 95.94 Mo.upf
W 183.84 W.upf
CELL_PARAMETERS angstrom
-1.336 -6.401 -1.291
4.050 -1.846 4.961
-0.631 -4.042 3.488
ATOMIC_POSITIONS angstrom
Fe 2.208 -2.958 3.812
Fe 0.540 -6.122 3.987
Fe -0.488 -5.248 0.684
Fe 1.905 -10.250 5.832
Mo 1.357 -4.124 1.835
Mo 2.388 -5.006 5.142
W 0.000 0.000 0.000
W -0.305 -7.283 2.016



(6)
! FeMo2W PBE-GGA relaxed; values from VASP
! offset from the most stable computed form: 0.0788 eV/atom
! crystal system: cubic
! space group: F-43m
! formation energy: 0.14 eV per atom
! total energy: -10.63 eV/atom
&SYSTEM
  ibrav = 0, nat = 4, ntyp = 3
/
ATOMIC_SPECIES
Mo 95.94 Mo.upf
Fe 55.84 Fe.upf
W 183.84 W.upf
CELL_PARAMETERS angstrom
-3.712 2.305 0.398
-1.884 -3.385 2.059
3.780 1.651 1.496
ATOMIC_POSITIONS angstrom
Mo -0.451 -1.137 2.392
Mo 0.000 0.000 0.000
Fe -1.365 1.708 1.561
W -2.798 -0.540 1.228



(7)
! FeMo2W PBE-GGA relaxed; values from VASP
! offset from the most stable computed form: 0.0587 eV/atom
! crystal system: orthorhombic
! space group: Pmmm
! formation energy: 0.12 eV per atom
! total energy: -10.65 eV/atom
&SYSTEM
  ibrav = 0, nat = 4, ntyp = 3
/
ATOMIC_SPECIES
Mo 95.94 Mo.upf
Fe 55.84 Fe.upf
W 183.84 W.upf
CELL_PARAMETERS angstrom
-2.424 1.172 -1.640
0.940 -2.660 -3.291
-2.631 -3.047 1.711
ATOMIC_POSITIONS angstrom
Mo -0.742 -0.744 -2.465
Mo 0.000 0.000 0.000
Fe -0.846 -2.853 -0.790
W -2.528 -0.937 0.036



(8)
! FeMo2W PBE-GGA relaxed; values from VASP
! offset from the most stable computed form: 0.7227 eV/atom
! crystal system: tetragonal
! space group: I-42d
! formation energy: 0.78 eV per atom
! total energy: -9.99 eV/atom
&SYSTEM
  ibrav = 0, nat = 8, ntyp = 3
/
ATOMIC_SPECIES
Mo 95.94 Mo.upf
W 183.84 W.upf
Fe 55.84 Fe.upf
CELL_PARAMETERS angstrom
7.032 0.000 0.000
0.000 7.032 0.000
3.516 3.516 2.526
ATOMIC_POSITIONS angstrom
Mo 5.274 5.491 1.895
Mo 1.975 5.274 0.632
Mo 8.790 8.574 1.895
Mo 5.058 1.758 0.632
W 7.032 3.516 1.263
W 0.000 0.000 0.000
Fe 3.516 3.516 0.000
Fe 3.516 7.032 1.263



(9)
! FeMo2W PBE-GGA relaxed; values from VASP
! offset from the most stable computed form: 0.0536 eV/atom
! crystal system: monoclinic
! space group: P2/m
! formation energy: 0.12 eV per atom
! total energy: -10.65 eV/atom
&SYSTEM
  ibrav = 0, nat = 4, ntyp = 3
/
ATOMIC_SPECIES
W 183.84 W.upf
Mo 95.94 Mo.upf
Fe 55.84 Fe.upf
CELL_PARAMETERS angstrom
4.414 0.000 0.000
0.000 2.672 0.000
0.000 0.888 5.110
ATOMIC_POSITIONS angstrom
W 2.207 0.890 1.277
Mo 0.000 0.892 5.087
Mo 0.000 1.775 2.578
Fe 2.207 2.670 3.832



(10)
! FeMo2W8 PBE-GGA relaxed; values from VASP
! crystal system: monoclinic
! space group: C2/m
! formation energy: 0.05 eV per atom
! total energy: -12.11 eV/atom
&SYSTEM
  ibrav = 0, nat = 11, ntyp = 3
/
ATOMIC_SPECIES
W 183.84 W.upf
Mo 95.94 Mo.upf
Fe 55.84 Fe.upf
CELL_PARAMETERS angstrom
3.127 -0.001 0.560
-0.286 6.857 1.626
0.148 0.247 8.189
ATOMIC_POSITIONS angstrom
W 2.584 0.712 3.316
W 1.356 1.862 1.169
W 2.034 1.397 6.387
W 1.621 5.229 8.710
W 0.394 6.379 6.563
W 2.708 3.802 2.635
W 0.269 3.289 7.244
W 0.943 5.694 3.493
Mo 2.167 4.495 5.660
Mo 0.810 2.596 4.219
Fe 3.269 0.239 8.501



(11)
! FeMo2W PBE-GGA relaxed; values from VASP
! offset from the most stable computed form: 0.3113 eV/atom
! crystal system: trigonal
! space group: R3m
! formation energy: 0.37 eV per atom
! total energy: -10.40 eV/atom
&SYSTEM
  ibrav = 0, nat = 4, ntyp = 3
/
ATOMIC_SPECIES
Mo 95.94 Mo.upf
W 183.84 W.upf
Fe 55.84 Fe.upf
CELL_PARAMETERS angstrom
9.312 -0.003 -0.002
8.906 2.717 -0.002
8.906 1.327 2.371
ATOMIC_POSITIONS angstrom
Mo 26.930 4.012 2.350
Mo 20.340 3.030 1.775
W 13.749 2.048 1.200
Fe 6.792 1.012 0.593



(12)
! Fe2MoW PBE-GGA relaxed; values from VASP
! crystal system: cubic
! space group: F-43m
! formation energy: 0.19 eV per atom
! total energy: -9.99 eV/atom
&SYSTEM
  ibrav = 0, nat = 4, ntyp = 3
/
ATOMIC_SPECIES
Mo 95.94 Mo.upf
Fe 55.84 Fe.upf
W 183.84 W.upf
CELL_PARAMETERS angstrom
4.280 0.000 0.000
2.140 3.706 0.000
2.140 1.235 3.494
ATOMIC_POSITIONS angstrom
Mo 4.280 2.471 1.747
Fe 0.000 0.000 0.000
Fe 6.420 3.706 2.621
W 2.140 1.235 0.874



Record-wise volume values, in Å³/cell: 60.10; 55.48; 55.54; 86.90; 114.94; 59.71; 59.77; 124.92; 60.26; 173.73; 60.06; 55.43
Record-wise Fermi-level density of states values, in states/eV/atom: 1.195; 0.838; 0.864; 1.000; 1.390; 0.725; 0.832; 0.916; 0.821; 0.538; 1.058; 0.893